(1)
# TaBeSb2

A relaxed TaBeSb2 crystal (GGA-PBE, the Alexandria database).

Cell lengths 6.137, 6.137, 11.515 Å; angles 90.00, 90.00, 90.00 degrees
Space group I-42d (No. 122)
Unique sites:
1 Ta 0.000 0.000 0.000 (multiplicity 4)
2 Be 0.000 0.000 0.500 (multiplicity 4)
3 Sb 0.215 0.250 0.625 (multiplicity 8)

- Formation energy without anion corrections: 0.636 eV per atom

(2)
# TlTeBr2

A relaxed TlTeBr2 crystal (GGA-PBE, the Alexandria database).

Cell lengths 5.647, 5.647, 19.453 Å; angles 90.00, 90.00, 90.00 degrees
Space group I-42d (No. 122)
Unique sites:
1 Tl 0.000 0.000 0.000 (multiplicity 4)
2 Te 0.000 0.000 0.500 (multiplicity 4)
3 Br 0.189 0.250 0.625 (multiplicity 8)

- Formation energy without anion corrections: -0.188 eV per atom

(3)
# Zr2FeSe

A relaxed Zr2FeSe crystal (GGA-PBE, the Alexandria database).

Cell lengths 3.968, 3.580, 10.056 Å; angles 90.00, 90.00, 90.00 degrees
Space group Amm2 (No. 38)
Unique sites:
1 Zr 0.000 0.000 0.000 (multiplicity 2)
2 Zr 0.500 0.000 0.293 (multiplicity 2)
3 Fe 0.500 0.000 0.557 (multiplicity 2)
4 Se 0.000 0.000 0.719 (multiplicity 2)

- Formation energy without anion corrections: -0.583 eV per atom

(4)
# NiMoSe2

A relaxed NiMoSe2 crystal (GGA-PBE, the Alexandria database).

Cell lengths 3.685, 3.685, 9.353 Å; angles 90.00, 90.00, 90.00 degrees
Space group I-4m2 (No. 119)
Unique sites:
1 Ni 0.000 0.000 0.000 (multiplicity 2)
2 Mo 0.000 0.500 0.250 (multiplicity 2)
3 Se 0.000 0.000 0.500 (multiplicity 2)
4 Se 0.000 0.500 0.750 (multiplicity 2)

- Formation energy without anion corrections: 0.357 eV per atom

What is the formation energy without anion corrections in the third record?
-0.583 eV per atom

Look up the formation energy without anion corrections of the second one.
-0.188 eV per atom